# 1
First-principles (PBE) data for a relaxed NiAgSn2 crystal, as listed in the Open Quantum Materials Database.

Values from the calculation:
DFT total energy: -15.15 eV per formula unit
calculated volume: 324.23 Å³ per cell
total magnetization: 0.00 μB per formula unit

Geometry as CIF:
```
data_NiAgSn2
_chemical_formula_sum 'Ni4 Ag4 Sn8'
_cell_length_a 6.870
_cell_length_b 6.870
_cell_length_c 6.870
_cell_angle_alpha 90.00
_cell_angle_beta 90.00
_cell_angle_gamma 90.00
_symmetry_space_group_name_H-M 'F -4 3 m'
_symmetry_Int_Tables_number 216
_symmetry_space_group_name_Hall 'F -4 2 3'
loop_
_atom_site_label
_atom_site_type_symbol
_atom_site_fract_x
_atom_site_fract_y
_atom_site_fract_z
_atom_site_occupancy
Ni1 Ni 0.000 0.000 0.000 1
Ag1 Ag 0.250 0.250 0.250 1
Sn1 Sn 0.000 0.000 0.500 1
Sn2 Sn 0.250 0.250 0.750 1
```

# 2
First-principles (PBE) data for a relaxed Ni3AgSn5 crystal, as listed in the Open Quantum Materials Database.

Values from the calculation:
DFT total energy: -40.13 eV per formula unit
calculated volume: 179.86 Å³ per cell
total magnetization: 0.00 μB per formula unit

Geometry as CIF:
```
data_Ni3AgSn5
_chemical_formula_sum 'Ni3 Ag1 Sn5'
_cell_length_a 5.2140
_cell_length_b 5.2140
_cell_length_c 7.6394
_cell_angle_alpha 90.00
_cell_angle_beta 90.00
_cell_angle_gamma 120.00
_symmetry_space_group_name_H-M 'P 6/m m m'
_symmetry_Int_Tables_number 191
_symmetry_space_group_name_Hall '-P 6 2'
loop_
_atom_site_label
_atom_site_type_symbol
_atom_site_fract_x
_atom_site_fract_y
_atom_site_fract_z
_atom_site_occupancy
Ni1 Ni 0.0000 0.5000 0.0000 1
Ag1 Ag 0.0000 0.0000 0.5000 1
Sn1 Sn 0.0000 0.0000 0.0000 1
Sn2 Sn 0.3333 0.6667 0.2947 1
```

# 3
First-principles (PBE) data for a relaxed NiAg2Sn crystal, as listed in the Open Quantum Materials Database.

Values from the calculation:
DFT total energy: -15.02 eV per formula unit
calculated volume: 273.59 Å³ per cell
total magnetization: 0.00 μB per formula unit

Geometry as CIF:
```
data_NiAg2Sn
_chemical_formula_sum 'Ni4 Ag8 Sn4'
_cell_length_a 6.492
_cell_length_b 6.492
_cell_length_c 6.492
_cell_angle_alpha 90.00
_cell_angle_beta 90.00
_cell_angle_gamma 90.00
_symmetry_space_group_name_H-M 'F -4 3 m'
_symmetry_Int_Tables_number 216
_symmetry_space_group_name_Hall 'F -4 2 3'
loop_
_atom_site_label
_atom_site_type_symbol
_atom_site_fract_x
_atom_site_fract_y
_atom_site_fract_z
_atom_site_occupancy
Ni1 Ni 0.000 0.000 0.000 1
Ag1 Ag 0.000 0.000 0.500 1
Ag2 Ag 0.250 0.250 0.750 1
Sn1 Sn 0.250 0.250 0.250 1
```

# 4
First-principles (PBE) data for a relaxed NiAgSn crystal, as listed in the Open Quantum Materials Database.

Values from the calculation:
DFT total energy: -12.44 eV per formula unit
calculated volume: 224.81 Å³ per cell
excess energy over the best structure of this formula in the dataset: 0 meV/atom
total magnetization: 0.00 μB per formula unit

Geometry as CIF:
```
data_NiAgSn
_chemical_formula_sum 'Ni4 Ag4 Sn4'
_cell_length_a 6.080
_cell_length_b 6.080
_cell_length_c 6.080
_cell_angle_alpha 90.00
_cell_angle_beta 90.00
_cell_angle_gamma 90.00
_symmetry_space_group_name_H-M 'F -4 3 m'
_symmetry_Int_Tables_number 216
_symmetry_space_group_name_Hall 'F -4 2 3'
loop_
_atom_site_label
_atom_site_type_symbol
_atom_site_fract_x
_atom_site_fract_y
_atom_site_fract_z
_atom_site_occupancy
Ni1 Ni 0.000 0.000 0.000 1
Ag1 Ag 0.250 0.250 0.750 1
Sn1 Sn 0.250 0.250 0.250 1
```

# 5
First-principles (PBE) data for a relaxed Sr2NiAgSn4 crystal, as listed in the Open Quantum Materials Database.

Values from the calculation:
DFT total energy: -31.44 eV per formula unit
calculated volume: 424.68 Å³ per cell
total magnetization: 0.00 μB per formula unit

Geometry as CIF:
```
data_Sr2NiAgSn4
_chemical_formula_sum 'Sr4 Ni2 Ag2 Sn8'
_cell_length_a 4.608
_cell_length_b 4.660
_cell_length_c 19.780
_cell_angle_alpha 90.00
_cell_angle_beta 90.00
_cell_angle_gamma 90.00
_symmetry_space_group_name_H-M 'A m m 2'
_symmetry_Int_Tables_number 38
_symmetry_space_group_name_Hall 'A 2 -2'
loop_
_atom_site_label
_atom_site_type_symbol
_atom_site_fract_x
_atom_site_fract_y
_atom_site_fract_z
_atom_site_occupancy
Sr1 Sr 0.000 0.000 0.000 1
Sr2 Sr 0.500 0.000 0.218 1
Ni1 Ni 0.000 0.000 0.789 1
Ag1 Ag 0.500 0.000 0.438 1
Sn1 Sn 0.000 0.000 0.352 1
Sn2 Sn 0.000 0.000 0.661 1
Sn3 Sn 0.500 0.000 0.575 1
Sn4 Sn 0.500 0.000 0.851 1
```

# 6
First-principles (PBE) data for a relaxed TcNiAgSn crystal, as listed in the Open Quantum Materials Database.

Values from the calculation:
DFT total energy: -21.68 eV per formula unit
calculated volume: 256.72 Å³ per cell
total magnetization: 0.76 μB per formula unit

Geometry as CIF:
```
data_TcNiAgSn
_chemical_formula_sum 'Tc4 Ni4 Ag4 Sn4'
_cell_length_a 6.356
_cell_length_b 6.356
_cell_length_c 6.356
_cell_angle_alpha 90.00
_cell_angle_beta 90.00
_cell_angle_gamma 90.00
_symmetry_space_group_name_H-M 'F -4 3 m'
_symmetry_Int_Tables_number 216
_symmetry_space_group_name_Hall 'F -4 2 3'
loop_
_atom_site_label
_atom_site_type_symbol
_atom_site_fract_x
_atom_site_fract_y
_atom_site_fract_z
_atom_site_occupancy
Tc1 Tc 0.000 0.000 0.000 1
Ni1 Ni 0.000 0.000 0.500 1
Ag1 Ag 0.250 0.250 0.750 1
Sn1 Sn 0.250 0.250 0.250 1
```

# 7
First-principles (PBE) data for a relaxed Tb2Ni2Ag crystal, as listed in the Open Quantum Materials Database.

Values from the calculation:
formation energy: -0.412 eV per atom
DFT total energy: -25.28 eV per formula unit
calculated volume: 195.77 Å³ per cell
total magnetization: 0.00 μB per formula unit

Geometry as CIF:
```
data_Tb2Ni2Ag
_chemical_formula_sum 'Tb4 Ni4 Ag2'
_cell_length_a 7.323
_cell_length_b 7.323
_cell_length_c 3.651
_cell_angle_alpha 90.00
_cell_angle_beta 90.00
_cell_angle_gamma 90.00
_symmetry_space_group_name_H-M 'P 4/m b m'
_symmetry_Int_Tables_number 127
_symmetry_space_group_name_Hall '-P 4 2ab'
loop_
_atom_site_label
_atom_site_type_symbol
_atom_site_fract_x
_atom_site_fract_y
_atom_site_fract_z
_atom_site_occupancy
Tb1 Tb 0.176 0.324 0.000 1
Ni1 Ni 0.119 0.619 0.500 1
Ag1 Ag 0.000 0.000 0.500 1
```

# 8
First-principles (PBE) data for a relaxed TbNi4Ag crystal, as listed in the Open Quantum Materials Database.

Values from the calculation:
formation energy: -0.298 eV per atom
DFT total energy: -31.51 eV per formula unit
calculated volume: 339.38 Å³ per cell
total magnetization: 0.95 μB per formula unit

Geometry as CIF:
```
data_TbNi4Ag
_chemical_formula_sum 'Tb4 Ni16 Ag4'
_cell_length_a 6.975
_cell_length_b 6.975
_cell_length_c 6.975
_cell_angle_alpha 90.00
_cell_angle_beta 90.00
_cell_angle_gamma 90.00
_symmetry_space_group_name_H-M 'F -4 3 m'
_symmetry_Int_Tables_number 216
_symmetry_space_group_name_Hall 'F -4 2 3'
loop_
_atom_site_label
_atom_site_type_symbol
_atom_site_fract_x
_atom_site_fract_y
_atom_site_fract_z
_atom_site_occupancy
Tb1 Tb 0.000 0.000 0.000 1
Ni1 Ni 0.124 0.124 0.624 1
Ag1 Ag 0.250 0.250 0.250 1
```

# 9
First-principles (PBE) data for a relaxed Tb2TlNiAg crystal, as listed in the Open Quantum Materials Database.

Values from the calculation:
DFT total energy: -21.76 eV per formula unit
calculated volume: 229.45 Å³ per cell
total magnetization: 0.00 μB per formula unit

Geometry as CIF:
```
data_Tb2TlNiAg
_chemical_formula_sum 'Tb4 Tl2 Ni2 Ag2'
_cell_length_a 3.698
_cell_length_b 4.218
_cell_length_c 14.709
_cell_angle_alpha 90.00
_cell_angle_beta 90.00
_cell_angle_gamma 90.00
_symmetry_space_group_name_H-M 'A m m 2'
_symmetry_Int_Tables_number 38
_symmetry_space_group_name_Hall 'A 2 -2'
loop_
_atom_site_label
_atom_site_type_symbol
_atom_site_fract_x
_atom_site_fract_y
_atom_site_fract_z
_atom_site_occupancy
Tb1 Tb 0.000 0.000 0.000 1
Tb2 Tb 0.000 0.000 0.267 1
Tl1 Tl 0.500 0.000 0.639 1
Ni1 Ni 0.500 0.000 0.829 1
Ag1 Ag 0.500 0.000 0.435 1
```

# 10
First-principles (PBE) data for a relaxed ZnTcNiAg crystal, as listed in the Open Quantum Materials Database.

Values from the calculation:
formation energy: 0.420 eV per atom
DFT total energy: -18.34 eV per formula unit
calculated volume: 233.91 Å³ per cell
total magnetization: 2.29 μB per formula unit

Geometry as CIF:
```
data_ZnTcNiAg
_chemical_formula_sum 'Zn4 Tc4 Ni4 Ag4'
_cell_length_a 6.161
_cell_length_b 6.161
_cell_length_c 6.161
_cell_angle_alpha 90.00
_cell_angle_beta 90.00
_cell_angle_gamma 90.00
_symmetry_space_group_name_H-M 'F -4 3 m'
_symmetry_Int_Tables_number 216
_symmetry_space_group_name_Hall 'F -4 2 3'
loop_
_atom_site_label
_atom_site_type_symbol
_atom_site_fract_x
_atom_site_fract_y
_atom_site_fract_z
_atom_site_occupancy
Zn1 Zn 0.000 0.000 0.000 1
Tc1 Tc 0.250 0.250 0.750 1
Ni1 Ni 0.250 0.250 0.250 1
Ag1 Ag 0.000 0.000 0.500 1
```

# 11
First-principles (PBE) data for a relaxed Ni3AgTe5 crystal, as listed in the Open Quantum Materials Database.

Values from the calculation:
DFT total energy: -34.80 eV per formula unit
calculated volume: 202.49 Å³ per cell
total magnetization: 0.00 μB per formula unit

Geometry as CIF:
```
data_Ni3AgTe5
_chemical_formula_sum 'Ni3 Ag1 Te5'
_cell_length_a 5.5394
_cell_length_b 5.5394
_cell_length_c 7.6201
_cell_angle_alpha 90.00
_cell_angle_beta 90.00
_cell_angle_gamma 120.00
_symmetry_space_group_name_H-M 'P 6/m m m'
_symmetry_Int_Tables_number 191
_symmetry_space_group_name_Hall '-P 6 2'
loop_
_atom_site_label
_atom_site_type_symbol
_atom_site_fract_x
_atom_site_fract_y
_atom_site_fract_z
_atom_site_occupancy
Ni1 Ni 0.0000 0.5000 0.0000 1
Ag1 Ag 0.0000 0.0000 0.5000 1
Te1 Te 0.0000 0.0000 0.0000 1
Te2 Te 0.3333 0.6667 0.2693 1
```

# 12
First-principles (PBE) data for a relaxed TlNiAgTe3 crystal, as listed in the Open Quantum Materials Database.

Values from the calculation:
DFT total energy: -20.75 eV per formula unit
calculated volume: 639.24 Å³ per cell
total magnetization: 0.00 μB per formula unit

Geometry as CIF:
```
data_TlNiAgTe3
_chemical_formula_sum 'Tl4 Ni4 Ag4 Te12'
_cell_length_a 3.849
_cell_length_b 14.609
_cell_length_c 11.368
_cell_angle_alpha 90.00
_cell_angle_beta 90.00
_cell_angle_gamma 90.00
_symmetry_space_group_name_H-M 'C m c m'
_symmetry_Int_Tables_number 63
_symmetry_space_group_name_Hall '-C 2c 2'
loop_
_atom_site_label
_atom_site_type_symbol
_atom_site_fract_x
_atom_site_fract_y
_atom_site_fract_z
_atom_site_occupancy
Tl1 Tl 0.000 0.229 0.250 1
Ni1 Ni 0.000 0.500 0.000 1
Ag1 Ag 0.000 0.111 0.750 1
Te1 Te 0.000 0.116 0.507 1
Te2 Te 0.000 0.461 0.750 1
```

# 13
First-principles (PBE) data for a relaxed Th2Ni2Ag crystal, as listed in the Open Quantum Materials Database.

Values from the calculation:
formation energy: -0.424 eV per atom
DFT total energy: -30.91 eV per formula unit
calculated volume: 209.35 Å³ per cell
total magnetization: 0.00 μB per formula unit

Geometry as CIF:
```
data_Th2Ni2Ag
_chemical_formula_sum 'Th4 Ni4 Ag2'
_cell_length_a 7.536
_cell_length_b 7.536
_cell_length_c 3.686
_cell_angle_alpha 90.00
_cell_angle_beta 90.00
_cell_angle_gamma 90.00
_symmetry_space_group_name_H-M 'P 4/m b m'
_symmetry_Int_Tables_number 127
_symmetry_space_group_name_Hall '-P 4 2ab'
loop_
_atom_site_label
_atom_site_type_symbol
_atom_site_fract_x
_atom_site_fract_y
_atom_site_fract_z
_atom_site_occupancy
Th1 Th 0.174 0.326 0.000 1
Ni1 Ni 0.123 0.623 0.500 1
Ag1 Ag 0.000 0.000 0.500 1
```

# 14
First-principles (PBE) data for a relaxed Tm3Ni8Ag crystal, as listed in the Open Quantum Materials Database.

Values from the calculation:
formation energy: -0.430 eV per atom
DFT total energy: -65.95 eV per formula unit
calculated volume: 517.29 Å³ per cell
total magnetization: 0.04 μB per formula unit

Geometry as CIF:
```
data_Tm3Ni8Ag
_chemical_formula_sum 'Tm9 Ni24 Ag3'
_cell_length_a 4.9555
_cell_length_b 4.9555
_cell_length_c 24.3233
_cell_angle_alpha 90.00
_cell_angle_beta 90.00
_cell_angle_gamma 120.00
_symmetry_space_group_name_H-M 'R 3 m'
_symmetry_Int_Tables_number 160
_symmetry_space_group_name_Hall 'R 3 -2"'
loop_
_atom_site_label
_atom_site_type_symbol
_atom_site_fract_x
_atom_site_fract_y
_atom_site_fract_z
_atom_site_occupancy
Tm1 Tm 0.0000 0.0000 0.0000 1
Tm2 Tm 0.0000 0.0000 0.1297 1
Tm3 Tm 0.0000 0.0000 0.6151 1
Ni1 Ni 0.0000 0.0000 0.3109 1
Ni2 Ni 0.0000 0.0000 0.8108 1
Ni3 Ni 0.9999 0.5000 0.0604 1
Ni4 Ni 0.0037 0.5018 0.5614 1
Ag1 Ag 0.0000 0.0000 0.4949 1
```